{
  "formula": "Li2VO3",
  "functional": "PBE+U",
  "state": "optimized geometry",
  "final_energy_ev_per_atom": -6.47,
  "n_ef_per_ev_atom": 0.000,
  "magnetic_moment_mub_per_fu": 1.00,
  "space_group": "C2/m",
  "cell": [[2.9697, 0.0000, 0.0000], [0.0000, 5.9822, 0.0018], [-1.4848, -1.5641, 6.0990]],
  "species": ["O", "O", "V", "O", "O", "Li", "V", "O", "Li", "O", "Li", "Li"],
  "frac_coords": [[0.3261, 0.4360, 0.6521], [0.6689, 0.1087, 0.3378], [0.8431, 0.6792, 0.6862], [0.0118, 0.2592, 0.0235], [0.3311, 0.8913, 0.6622], [0.5000, 0.0000, 0.0000], [0.1569, 0.3208, 0.3138], [0.6739, 0.5640, 0.3479], [0.8372, 0.1616, 0.6743], [0.9882, 0.7408, 0.9765], [0.1628, 0.8384, 0.3257], [0.5000, 0.5000, 0.0000]]
}